! Cs3Au3N2 GGA-PBE relaxed; values from VASP
! Volume = 225.75 Å³/f.u.
! Total energy = -3.555 eV per atom
&SYSTEM
  ibrav = 0, nat = 8, ntyp = 3
/
ATOMIC_SPECIES
Cs 132.91 Cs.upf
Au 196.97 Au.upf
N 14.01 N.upf
CELL_PARAMETERS angstrom
3.3921 1.9585 5.6635
-3.3921 1.9585 5.6635
0.0000 -3.9169 5.6635
ATOMIC_POSITIONS crystal
Cs 0.0000 0.0000 0.0000
Cs 0.3884 0.3884 0.3884
Cs 0.6116 0.6116 0.6116
Au 0.0000 0.0000 0.5000
Au 0.0000 0.5000 0.0000
Au 0.5000 0.0000 0.0000
N 0.2109 0.2109 0.2109
N 0.7891 0.7891 0.7891